Entry 1:
Density functional theory data (GGA-PBE) for Sr2AcPaP4 after structural relaxation.

Output
- E_form: -1256.5 meV per atom
- SG: P2/m (10)

```
data_Sr2AcPaP4
_symmetry_space_group_name_H-M 'P 1'
_symmetry_Int_Tables_number 1
_cell_length_a 7.432
_cell_length_b 4.297
_cell_length_c 7.460
_cell_angle_alpha 90.00
_cell_angle_beta 109.41
_cell_angle_gamma 90.00
loop_
_symmetry_equiv_pos_as_xyz
'x,y,z'
loop_
_atom_site_label
_atom_site_type_symbol
_atom_site_fract_x
_atom_site_fract_y
_atom_site_fract_z
_atom_site_occupancy
Sr1 Sr 0.000 0.000 0.000 1
Sr2 Sr 0.000 0.500 0.500 1
Ac1 Ac 0.500 0.000 0.500 1
Pa1 Pa 0.500 0.500 0.000 1
P1 P 0.274 0.500 0.229 1
P2 P 0.282 0.000 0.782 1
P3 P 0.718 0.000 0.218 1
P4 P 0.726 0.500 0.771 1
```

---

Entry 2:
Density functional theory data (GGA-PBE) for LaMgTe2 after structural relaxation.

Output
- Formation energy without anion corrections: -1052 meV/atom
- SG: C2/m (12)

```
data_LaMgTe2
_symmetry_space_group_name_H-M 'P 1'
_symmetry_Int_Tables_number 1
_cell_length_a 5.360
_cell_length_b 5.360
_cell_length_c 3.968
_cell_angle_alpha 90.22
_cell_angle_beta 90.22
_cell_angle_gamma 89.95
loop_
_symmetry_equiv_pos_as_xyz
'x,y,z'
loop_
_atom_site_label
_atom_site_type_symbol
_atom_site_fract_x
_atom_site_fract_y
_atom_site_fract_z
_atom_site_occupancy
La1 La 0.000 0.000 0.000 1
Mg1 Mg 0.500 0.500 0.000 1
Te1 Te 0.000 0.500 0.500 1
Te2 Te 0.500 0.000 0.500 1
```

---

Entry 3:
Density functional theory data (GGA-PBE) for KMg2SiOs after structural relaxation.

Output
- Formation energy without anion corrections: -2 meV/atom
- SG: P4/mmm (123)

```
data_KMg2SiOs
_symmetry_space_group_name_H-M 'P 1'
_symmetry_Int_Tables_number 1
_cell_length_a 5.150
_cell_length_b 5.150
_cell_length_c 4.643
_cell_angle_alpha 90.00
_cell_angle_beta 90.00
_cell_angle_gamma 90.00
loop_
_symmetry_equiv_pos_as_xyz
'x,y,z'
loop_
_atom_site_label
_atom_site_type_symbol
_atom_site_fract_x
_atom_site_fract_y
_atom_site_fract_z
_atom_site_occupancy
K1 K 0.000 0.000 0.000 1
Mg1 Mg 0.000 0.500 0.500 1
Mg2 Mg 0.500 0.000 0.500 1
Si1 Si 0.500 0.500 0.000 1
Os1 Os 0.500 0.500 0.500 1
```